A relaxed structure of GeH2Pd6. Source: Alexandria via LeMat-Bulk, functional PBE-GGA.

Computed properties:
Space group = No. 12
Spin magnetization = 0.00 μB/cell
Energy above the most stable polymorph in this dataset = 0.000 eV per formula unit

```
data_GeH2Pd6
_chemical_formula_sum 'Ge1 H2 Pd6'
_cell_length_a 4.0276
_cell_length_b 5.4073
_cell_length_c 6.2891
_cell_angle_alpha 82.30
_cell_angle_beta 71.32
_cell_angle_gamma 68.14
_symmetry_space_group_name_H-M 'P 1'
_symmetry_Int_Tables_number 1
loop_
_symmetry_equiv_pos_as_xyz
'x,y,z'
loop_
_atom_site_label
_atom_site_type_symbol
_atom_site_fract_x
_atom_site_fract_y
_atom_site_fract_z
Pd1 Pd 0.3134 0.2159 0.1573
Pd2 Pd 0.9745 0.2107 0.8403
Pd3 Pd 0.6866 0.7841 0.8427
Pd4 Pd 0.0255 0.7893 0.1597
Pd5 Pd 0.6498 0.2045 0.4958
Pd6 Pd 0.3502 0.7955 0.5042
H1 H 0.1743 0.8192 0.8322
H2 H 0.8257 0.1808 0.1678
Ge1 Ge 0.0000 0.5000 0.5000
```



A relaxed structure of Pm2GeHPd6. Source: Alexandria via LeMat-Bulk, functional PBE-GGA.

Computed properties:
Space group = No. 12
Spin magnetization = 0.00 μB/cell

```
data_Pm2GeHPd6
_chemical_formula_sum 'Pm2 Ge1 H1 Pd6'
_cell_length_a 5.7526
_cell_length_b 6.9027
_cell_length_c 5.7565
_cell_angle_alpha 65.01
_cell_angle_beta 60.03
_cell_angle_gamma 90.00
_symmetry_space_group_name_H-M 'P 1'
_symmetry_Int_Tables_number 1
loop_
_symmetry_equiv_pos_as_xyz
'x,y,z'
loop_
_atom_site_label
_atom_site_type_symbol
_atom_site_fract_x
_atom_site_fract_y
_atom_site_fract_z
Pd1 Pd 0.7670 0.3088 0.9640
Pd2 Pd 0.7308 0.6915 0.0358
Pd3 Pd 0.2330 0.6912 0.0360
Pd4 Pd 0.7295 0.6878 0.5408
Pd5 Pd 0.2705 0.3122 0.4592
Pd6 Pd 0.2692 0.3085 0.9642
Pm1 Pm 0.2755 0.8234 0.4490
Pm2 Pm 0.7245 0.1766 0.5510
Ge1 Ge 0.0000 0.0000 0.0000
H1 H 0.5000 0.5000 0.0000
```



A relaxed structure of PmGeHPd2. Source: Alexandria via LeMat-Bulk, functional PBE-GGA.

Computed properties:
Space group = No. 63
Spin magnetization = 0.00 μB/cell

```
data_PmGeHPd2
_chemical_formula_sum 'Pm2 Ge2 H2 Pd4'
_cell_length_a 3.9929
_cell_length_b 5.8097
_cell_length_c 7.3992
_cell_angle_alpha 90.00
_cell_angle_beta 90.00
_cell_angle_gamma 110.10
_symmetry_space_group_name_H-M 'P 1'
_symmetry_Int_Tables_number 1
loop_
_symmetry_equiv_pos_as_xyz
'x,y,z'
loop_
_atom_site_label
_atom_site_type_symbol
_atom_site_fract_x
_atom_site_fract_y
_atom_site_fract_z
Pd1 Pd 0.1589 0.3178 0.5553
Pd2 Pd 0.1589 0.3178 0.9447
Pd3 Pd 0.8411 0.6822 0.0553
Pd4 Pd 0.8411 0.6822 0.4447
Ge1 Ge 0.7272 0.4545 0.7500
Ge2 Ge 0.2728 0.5455 0.2500
H1 H 0.0000 0.0000 0.5000
H2 H 0.0000 0.0000 0.0000
Pm1 Pm 0.4437 0.8874 0.7500
Pm2 Pm 0.5563 0.1126 0.2500
```



Number 1: volume 120.40 Å³/cell, final energy -0.3590 Ry/atom. Number 2: volume 172.88 Å³/cell, final energy -0.4081 Ry/atom. Number 3: volume 161.19 Å³/cell, final energy -0.3955 Ry/atom.